(1)
Density functional theory data (GGA-PBE) for BaScMo after structural relaxation.

abc: 5.3161 5.3161 2.9780
angles: 90.00 90.00 120.00
Space group P3m1 (No. 156)
Inequivalent atoms, fractional coordinates:
1 Ba 0.0000 0.0000 0.0000
2 Sc 0.3333 0.6667 0.9919
3 Mo 0.6667 0.3333 0.4963

Summary:
* polymorph energy (0 for the lowest one): 270 meV/atom
* spin magnetization: 0.00 μB per cell
* E_tot: -16.2 eV per cell
* crystal system: trigonal


(2)
Density functional theory data (GGA-PBE) for CePm6Dy after structural relaxation.

abc: 5.120 5.120 10.244
angles: 90.00 90.00 90.00
Space group P4/mmm (No. 123)
Inequivalent atoms, fractional coordinates:
1 Ce 0.000 0.000 0.000
2 Pm 0.000 0.500 0.249
3 Pm 0.500 0.500 0.000
4 Pm 0.500 0.500 0.500
5 Dy 0.000 0.000 0.500

Summary:
* spin magnetization: 0.95 μB per cell
* E_tot: -38.7 eV per cell
* crystal system: tetragonal


(3)
Density functional theory data (GGA-PBE) for MgIr3W after structural relaxation.

abc: 4.392 4.392 4.392
angles: 90.00 90.00 90.00
Space group Pm-3m (No. 221)
Inequivalent atoms, fractional coordinates:
1 Mg 0.000 0.000 0.000
2 Ir 0.000 0.000 0.500
3 W 0.500 0.500 0.500

Summary:
* polymorph energy (0 for the lowest one): 515 meV/atom
* spin magnetization: 0.00 μB per cell
* E_tot: -32.6 eV per cell
* crystal system: cubic


(4)
Density functional theory data (GGA-PBE) for YAlPS2 after structural relaxation.

abc: 5.234 5.234 5.438
angles: 90.00 90.00 90.00
Space group P4/mmm (No. 123)
Inequivalent atoms, fractional coordinates:
1 Y 0.000 0.000 0.000
2 Al 0.500 0.500 0.500
3 P 0.000 0.000 0.500
4 S 0.000 0.500 0.000

Summary:
* polymorph energy (0 for the lowest one): 717 meV/atom
* spin magnetization: 1.52 μB per cell
* E_tot: -23.6 eV per cell
* formation energy (no corrections): 0.046 eV/atom
* crystal system: tetragonal